1.
Compound: B2CS
Source: Alexandria
Functional: PBE
Structure: optimized geometry

a b c (Å): 2.888 2.872 9.352
angles (deg): 90.00 90.00 90.00
Fractional coordinates of all 8 atoms:
B  0.500  0.000  0.477
B  0.500  0.500  0.977
B  0.000  0.500  0.305
B  0.000  0.000  0.805
S  0.500  0.500  0.174
S  0.500  0.000  0.674
C  0.000  0.500  0.900
C  0.000  0.000  0.400

* raw formation energy: 81 meV/atom
* relative energy among the computed polymorphs: 0.97 eV/f.u.
* space group: Amm2 (38)
* Fermi-level density of states: 0.08 states/eV per atom


2.
Compound: Sr3Mg2H5S2
Source: Alexandria
Functional: PBE
Structure: optimized geometry

a b c (Å): 4.157 4.157 12.123
angles (deg): 99.87 99.87 90.00
Fractional coordinates of all 12 atoms:
Sr  0.000  0.000  0.000
Sr  0.818  0.818  0.636
Sr  0.182  0.182  0.364
H  0.925  0.425  0.850
H  0.575  0.075  0.150
H  0.075  0.575  0.150
H  0.425  0.925  0.850
H  0.500  0.500  0.000
S  0.690  0.690  0.381
S  0.310  0.310  0.619
Mg  0.416  0.416  0.831
Mg  0.584  0.584  0.169

* E_tot: -3.6033 eV/atom
* space group: I4/mmm (139)
* Fermi-level density of states: 0.30 states/eV per atom


Q: Which of these has the lowest Fermi-level density of states?
A: B2CS


Q: Which value of Fermi-level density of states does entry 2 give?
A: 0.30 states/eV per atom


Q: Which formula does entry 1 have?
A: B2CS


Repeat the first record exactly.
Compound: B2CS
Source: Alexandria
Functional: PBE
Structure: optimized geometry

a b c (Å): 2.888 2.872 9.352
angles (deg): 90.00 90.00 90.00
Fractional coordinates of all 8 atoms:
B  0.500  0.000  0.477
B  0.500  0.500  0.977
B  0.000  0.500  0.305
B  0.000  0.000  0.805
S  0.500  0.500  0.174
S  0.500  0.000  0.674
C  0.000  0.500  0.900
C  0.000  0.000  0.400

* raw formation energy: 81 meV/atom
* relative energy among the computed polymorphs: 0.97 eV/f.u.
* space group: Amm2 (38)
* Fermi-level density of states: 0.08 states/eV per atom